[1]
The following is a DFT calculation (GGA-PBE) of crystalline BC2 at its relaxed geometry.

Cell lengths 4.6079, 4.5542, 4.4919 Å; angles 98.41, 100.38, 120.08 degrees
Closest atoms and distances in Å follow each position.
Element x y z (fractional)
B: 0.1885 0.8485 0.5510  3 C 1.63-1.66
B: 0.0133 0.7012 0.1045  2 C 1.59-1.60, 1 B 1.69
B: 0.3701 0.3330 0.1341  3 C 1.58-1.60
B: 0.3395 0.7095 0.9778  2 C 1.57-1.58, 1 B 1.69
C: 0.5075 0.5046 0.5055  3 C 1.56-1.57, 1 B 1.59
C: 0.2118 0.5160 0.6183  2 C 1.56, 2 B 1.57-1.64
C: 0.8382 0.1681 0.4968  4 C 1.56-1.59
C: 0.7183 0.0539 0.1300  3 C 1.54-1.56, 1 B 1.58
C: 0.6599 0.3186 0.9946  2 C 1.54-1.59, 2 B 1.60
C: 0.5616 0.2209 0.6218  3 C 1.57-1.59, 1 B 1.63
C: 0.9797 0.0004 0.9910  2 C 1.56, 2 B 1.58-1.59
C: 0.8615 0.8752 0.6246  3 C 1.56-1.57, 1 B 1.66

## Properties
Crystal system: triclinic
Total energy: -7.993 eV/atom
Distance to the lowest polymorph of the same formula: 0.142 eV/atom
D(E_F): 0.38 states/eV/f.u.
Energy relative to the elements: 382 meV per atom

[2]
The following is a DFT calculation (GGA-PBE) of crystalline MgPt2Pb at its relaxed geometry.

Cell lengths 3.6785, 3.6785, 5.6257 Å; angles 90.00, 90.00, 90.00 degrees
Closest atoms and distances in Å follow each position.
Element x y z (fractional)
Mg: 0.0000 0.0000 0.4523  5 Pt 2.65-2.77
Pb: 0.5000 0.5000 0.7825  6 Pt 2.81-2.83
Pt: 0.0000 0.0000 0.9813  1 Mg 2.65, 4 Pb 2.83
Pt: 0.5000 0.5000 0.2839  4 Mg 2.77, 2 Pb 2.81-2.82

## Properties
Crystal system: tetragonal
Total energy: -4.669 eV/atom
D(E_F): 1.37 states/eV/f.u.
Energy relative to the elements: -322 meV per atom

[3]
The following is a DFT calculation (GGA-PBE) of crystalline YAg2Os at its relaxed geometry.

Cell lengths 9.3870, 9.3870, 9.3870 Å; angles 19.32, 19.32, 19.32 degrees
Closest atoms and distances in Å follow each position.
Element x y z (fractional)
Ag: 0.9961 0.9961 0.9961  9 Ag 2.90-3.15, 3 Y 3.18
Ag: 0.2476 0.2476 0.2476  3 Os 2.90, 9 Ag 2.90-3.15
Os: 0.4992 0.4992 0.4992  3 Y 2.77, 3 Ag 2.90
Y: 0.7571 0.7571 0.7571  3 Os 2.77

## Properties
Crystal system: trigonal
Total energy: -5.405 eV/atom
Distance to the lowest polymorph of the same formula: 0.277 eV/atom
D(E_F): 2.20 states/eV/f.u.
Energy relative to the elements: 444 meV per atom

total energy of number 2 (MgPt2Pb)? -4.669 eV/atom

What is the energy relative to the elements in the first record? 382 meV per atom